No. 1
DFT (GGA-PBE) results for a relaxed Ho8Th3 crystal.

abc: 7.940 7.940 7.940
angles: 66.30 66.30 66.30
Atoms (fractional coordinates):
Ho  0.073  0.073  0.073
Ho  0.241  0.245  0.625
Ho  0.245  0.625  0.241
Ho  0.375  0.759  0.755
Ho  0.625  0.241  0.245
Ho  0.755  0.375  0.759
Ho  0.759  0.755  0.375
Ho  0.927  0.927  0.927
Th  0.000  0.000  0.500
Th  0.000  0.500  0.000
Th  0.500  0.000  0.000

The space group is R-3 (148). Its total DFT energy (no corrections) is -4.66 eV/atom. Its energy relative to the lowest polymorph listed for this composition is 213 meV/atom. The formation energy is 7.587 eV/f.u.

---

No. 2
DFT (GGA-PBE) results for a relaxed Tb5IrAu4 crystal.

abc: 3.569 3.569 18.041
angles: 90.00 90.00 90.00
Atoms (fractional coordinates):
Tb  0.000  0.000  0.000
Tb  0.000  0.000  0.205
Tb  0.000  0.000  0.409
Tb  0.000  0.000  0.591
Tb  0.000  0.000  0.795
Ir  0.500  0.500  0.500
Au  0.500  0.500  0.101
Au  0.500  0.500  0.304
Au  0.500  0.500  0.696
Au  0.500  0.500  0.899

The space group is P4/mmm (123). Its total DFT energy (no corrections) is -5.35 eV/atom. The formation energy is -8.392 eV/f.u.

---

No. 3
DFT (GGA-PBE) results for a relaxed LaTa crystal.

abc: 5.235 5.235 6.151
angles: 90.00 90.00 120.00
Atoms (fractional coordinates):
La  0.333  0.667  0.250
La  0.667  0.333  0.750
Ta  0.333  0.667  0.750
Ta  0.667  0.333  0.250

The space group is P6_3/mmc (194). Its total DFT energy (no corrections) is -6.30 eV/atom. Its energy relative to the lowest polymorph listed for this composition is 1808 meV/atom. The formation energy is 4.175 eV/f.u.